Model i:
A plane-wave DFT calculation with PBE was carried out for a relaxed structure of CuNi2Rh2.

Computed properties:
As for the theoretical density: 10.02 Mg/m³. For the density of states at the Fermi level, the calculation gives 2.213 states/eV per atom. For the volume, the calculation gives 12.82 Å³/atom.

a b c (Å): 4.189 4.189 4.862
angles (deg): 64.48 64.48 59.99
Last column: magnetic moment on the atom in μB.
Sites, in units of the cell vectors:
Ni  0.597  0.097  0.209  0.53
Ni  0.403  0.903  0.791  0.53
Rh  0.207  0.707  0.378  0.56
Rh  0.793  0.293  0.622  0.56
Cu  0.000  0.500  0.000  0.07

Model ii:
A plane-wave DFT calculation with PBE was carried out for a relaxed structure of CuNi2Rh2.

Computed properties:
As for the theoretical density: 9.76 Mg/m³. For the density of states at the Fermi level, the calculation gives 1.773 states/eV per atom. For the volume, the calculation gives 13.15 Å³/atom.

a b c (Å): 4.622 4.737 6.859
angles (deg): 110.20 109.69 90.00
Last column: magnetic moment on the atom in μB.
Sites, in units of the cell vectors:
Rh  0.393  0.780  0.786  0.46
Rh  0.107  0.994  0.214  0.46
Rh  0.607  0.220  0.214  0.46
Rh  0.893  0.006  0.786  0.46
Ni  0.812  0.431  0.624  0.54
Ni  0.188  0.569  0.376  0.54
Ni  0.312  0.193  0.624  0.54
Ni  0.688  0.807  0.376  0.54
Cu  0.750  0.500  0.000  0.07
Cu  0.250  0.500  0.000  0.07

Which one sits at the bottom of the stability order? model ii does.

Model i:
A plane-wave DFT calculation with PBE was carried out for a relaxed structure of Cu3Ni4Rh.

Computed properties:
As for the theoretical density: 8.98 Mg/m³. For the density of states at the Fermi level, the calculation gives 1.409 states/eV per atom. For the volume, the calculation gives 12.21 Å³/atom.

a b c (Å): 5.410 5.410 5.410
angles (deg): 78.22 127.82 126.23
Last column: magnetic moment on the atom in μB.
Sites, in units of the cell vectors:
Rh  0.946  0.500  0.446  0.55
Cu  0.462  0.000  0.462  0.05
Cu  0.211  0.244  0.455  0.05
Cu  0.211  0.756  0.967  0.05
Ni  0.710  0.755  0.465  0.49
Ni  0.700  0.749  0.950  0.47
Ni  0.201  0.251  0.950  0.47
Ni  0.710  0.245  0.955  0.49

Model ii:
A plane-wave DFT calculation with PBE was carried out for a relaxed structure of Cu3Ni4Rh.

Computed properties:
As for the theoretical density: 9.33 Mg/m³. For the density of states at the Fermi level, the calculation gives 1.304 states/eV per atom. For the volume, the calculation gives 11.76 Å³/atom.

a b c (Å): 4.397 8.793 5.141
angles (deg): 90.00 90.00 108.85
Last column: magnetic moment on the atom in μB.
Sites, in units of the cell vectors:
Ni  0.936  0.500  0.117  0.55
Ni  0.936  0.000  0.130  0.58
Ni  0.436  0.749  0.116  0.59
Ni  0.436  0.000  0.883  0.55
Ni  0.936  0.751  0.884  0.59
Ni  0.936  0.249  0.884  0.59
Ni  0.436  0.251  0.116  0.59
Ni  0.436  0.500  0.870  0.58
Cu  0.936  0.500  0.631  0.04
Cu  0.440  0.250  0.627  0.04
Cu  0.940  0.750  0.373  0.04
Cu  0.436  0.000  0.369  0.04
Cu  0.431  0.750  0.627  0.04
Cu  0.931  0.250  0.373  0.04
Rh  0.936  0.000  0.636  0.53
Rh  0.436  0.500  0.364  0.53

Which one sits at the bottom of the stability order? model i does.

Model i:
A plane-wave DFT calculation with PBE was carried out for a relaxed structure of Cu7Ni2Rh2.

Computed properties:
As for the theoretical density: 9.17 Mg/m³. For the density of states at the Fermi level, the calculation gives 1.352 states/eV per atom. For the volume, the calculation gives 12.64 Å³/atom.

a b c (Å): 4.506 5.880 5.880
angles (deg): 87.30 108.98 108.98
Last column: magnetic moment on the atom in μB.
Sites, in units of the cell vectors:
Ni  0.460  0.739  0.739  0.06
Ni  0.540  0.261  0.261  0.06
Cu  0.815  0.588  0.588  0.00
Cu  0.163  0.416  0.924  0.01
Cu  0.000  0.000  0.000  0.00
Cu  0.837  0.076  0.584  0.01
Cu  0.163  0.924  0.416  0.01
Cu  0.185  0.412  0.412  0.00
Cu  0.837  0.584  0.076  0.01
Rh  0.500  0.179  0.821  0.05
Rh  0.500  0.821  0.179  0.05

Model ii:
A plane-wave DFT calculation with PBE was carried out for a relaxed structure of Cu7Ni2Rh2.

Computed properties:
As for the theoretical density: 9.05 Mg/m³. For the density of states at the Fermi level, the calculation gives 0.965 states/eV per atom. For the volume, the calculation gives 12.81 Å³/atom.

a b c (Å): 5.245 6.946 5.245
angles (deg): 66.50 55.70 66.50
Sites, in units of the cell vectors:
Rh  0.495  0.319  0.495
Rh  0.505  0.681  0.505
Cu  0.000  0.500  0.000
Cu  0.776  0.968  0.776
Cu  0.224  0.032  0.224
Cu  0.508  0.327  0.990
Cu  0.010  0.673  0.492
Cu  0.990  0.327  0.508
Cu  0.492  0.673  0.010
Ni  0.748  0.000  0.252
Ni  0.252  0.000  0.748

Which one sits at the bottom of the stability order? model ii does.

Model i:
A plane-wave DFT calculation with PBE was carried out for a relaxed structure of CuNi5Rh2.

Computed properties:
As for the theoretical density: 9.72 Mg/m³. For the density of states at the Fermi level, the calculation gives 1.586 states/eV per atom. For the volume, the calculation gives 12.02 Å³/atom.

a b c (Å): 3.686 3.686 7.541
angles (deg): 104.15 104.15 90.00
Last column: magnetic moment on the atom in μB.
Sites, in units of the cell vectors:
Rh  0.249  0.249  0.498  0.73
Rh  0.751  0.751  0.502  0.73
Ni  0.880  0.380  0.760  0.68
Ni  0.620  0.120  0.240  0.68
Ni  0.500  0.500  0.000  0.57
Ni  0.380  0.880  0.760  0.68
Ni  0.120  0.620  0.240  0.68
Cu  0.000  0.000  0.000  0.06

Model ii:
A plane-wave DFT calculation with PBE was carried out for a relaxed structure of CuNi5Rh2.

Computed properties:
As for the theoretical density: 9.45 Mg/m³. For the density of states at the Fermi level, the calculation gives 1.547 states/eV per atom. For the volume, the calculation gives 12.36 Å³/atom.

a b c (Å): 2.565 7.977 6.398
angles (deg): 128.57 101.56 90.00
Last column: magnetic moment on the atom in μB.
Sites, in units of the cell vectors:
Rh  0.742  0.242  0.484  0.77
Rh  0.258  0.758  0.516  0.77
Ni  0.000  0.500  0.000  0.68
Ni  0.375  0.604  0.751  0.72
Ni  0.375  0.147  0.751  0.72
Ni  0.625  0.396  0.249  0.72
Ni  0.625  0.853  0.249  0.72
Cu  0.000  0.000  0.000  0.04

Which one sits at the bottom of the stability order? model ii does.

Model i:
A plane-wave DFT calculation with PBE was carried out for a relaxed structure of CuNi3Rh3.

Computed properties:
As for the theoretical density: 10.28 Mg/m³. For the density of states at the Fermi level, the calculation gives 1.841 states/eV per atom. For the volume, the calculation gives 12.66 Å³/atom.

a b c (Å): 4.275 6.918 6.918
angles (deg): 120.00 90.00 90.00
Last column: magnetic moment on the atom in μB.
Sites, in units of the cell vectors:
Ni  0.750  0.045  0.228  0.66
Ni  0.250  0.228  0.183  0.66
Ni  0.250  0.817  0.045  0.66
Ni  0.750  0.183  0.955  0.66
Ni  0.750  0.772  0.817  0.66
Ni  0.250  0.955  0.772  0.66
Cu  0.250  0.667  0.333  0.07
Cu  0.750  0.333  0.667  0.07
Rh  0.250  0.375  0.906  0.41
Rh  0.250  0.094  0.469  0.41
Rh  0.750  0.625  0.094  0.41
Rh  0.750  0.469  0.375  0.41
Rh  0.750  0.906  0.531  0.41
Rh  0.250  0.531  0.625  0.41

Model ii:
A plane-wave DFT calculation with PBE was carried out for a relaxed structure of CuNi3Rh3.

Computed properties:
As for the theoretical density: 9.66 Mg/m³. For the density of states at the Fermi level, the calculation gives 1.727 states/eV per atom. For the volume, the calculation gives 13.46 Å³/atom.

a b c (Å): 5.907 5.907 7.109
angles (deg): 65.45 65.45 60.00
Last column: magnetic moment on the atom in μB.
Sites, in units of the cell vectors:
Ni  0.589  0.758  0.589  0.77
Ni  0.063  0.589  0.589  0.77
Ni  0.242  0.937  0.411  0.77
Ni  0.758  0.063  0.589  0.77
Ni  0.937  0.411  0.411  0.77
Ni  0.411  0.242  0.411  0.77
Rh  0.717  0.868  0.182  0.76
Rh  0.868  0.233  0.182  0.76
Rh  0.283  0.132  0.818  0.76
Rh  0.132  0.767  0.818  0.76
Rh  0.233  0.717  0.182  0.76
Rh  0.767  0.283  0.818  0.76
Cu  0.308  0.308  0.075  0.14
Cu  0.692  0.692  0.925  0.14

Which one sits at the bottom of the stability order? model ii does.

Model i:
A plane-wave DFT calculation with PBE was carried out for a relaxed structure of Cu2Ni7Rh2.

Computed properties:
As for the theoretical density: 9.21 Mg/m³. For the density of states at the Fermi level, the calculation gives 1.379 states/eV per atom. For the volume, the calculation gives 12.19 Å³/atom.

a b c (Å): 4.418 5.860 5.860
angles (deg): 87.44 109.70 109.70
Last column: magnetic moment on the atom in μB.
Sites, in units of the cell vectors:
Ni  0.045  0.259  0.259  0.64
Ni  0.335  0.586  0.073  0.67
Ni  0.335  0.073  0.586  0.67
Ni  0.500  0.000  0.000  0.76
Ni  0.665  0.414  0.927  0.67
Ni  0.955  0.741  0.741  0.64
Ni  0.665  0.927  0.414  0.67
Rh  0.000  0.186  0.814  0.73
Rh  0.000  0.814  0.186  0.73
Cu  0.318  0.593  0.593  0.04
Cu  0.682  0.407  0.407  0.04

Model ii:
A plane-wave DFT calculation with PBE was carried out for a relaxed structure of Cu2Ni7Rh2.

Computed properties:
As for the theoretical density: 9.51 Mg/m³. For the density of states at the Fermi level, the calculation gives 1.389 states/eV per atom. For the volume, the calculation gives 11.80 Å³/atom.

a b c (Å): 5.710 10.552 6.760
angles (deg): 34.31 53.80 35.68
Last column: magnetic moment on the atom in μB.
Sites, in units of the cell vectors:
Ni  0.644  0.726  0.817  0.68
Ni  0.088  0.819  0.540  0.72
Ni  0.356  0.274  0.183  0.68
Ni  0.725  0.542  0.362  0.72
Ni  0.912  0.181  0.460  0.72
Ni  0.275  0.458  0.638  0.72
Ni  0.000  0.000  0.000  0.68
Rh  0.816  0.364  0.906  0.67
Rh  0.184  0.636  0.094  0.67
Cu  0.459  0.085  0.729  0.07
Cu  0.541  0.915  0.271  0.07

Which one sits at the bottom of the stability order? model i does.

Model i:
A plane-wave DFT calculation with PBE was carried out for a relaxed structure of ScCuNiRh.

Computed properties:
As for the theoretical density: 7.88 Mg/m³. For the density of states at the Fermi level, the calculation gives 0.510 states/eV per atom. For the volume, the calculation gives 14.23 Å³/atom.

a b c (Å): 4.318 4.318 4.318
angles (deg): 60.00 60.00 60.00
Sites, in units of the cell vectors:
Rh  0.750  0.750  0.750
Cu  0.500  0.500  0.500
Sc  0.000  0.000  0.000
Ni  0.250  0.250  0.250

Model ii:
A plane-wave DFT calculation with PBE was carried out for a relaxed structure of ScCuNiRh.

Computed properties:
As for the theoretical density: 8.00 Mg/m³. For the density of states at the Fermi level, the calculation gives 1.060 states/eV per atom. For the volume, the calculation gives 14.01 Å³/atom.

a b c (Å): 3.656 3.878 3.953
angles (deg): 90.00 90.00 90.00
Sites, in units of the cell vectors:
Rh  0.500  0.000  0.500
Ni  0.500  0.500  0.000
Cu  0.000  0.000  0.000
Sc  0.000  0.500  0.500

Which one sits at the bottom of the stability order? model i does.

Model i:
A plane-wave DFT calculation with PBE was carried out for a relaxed structure of TaCuNiRh.

Computed properties:
As for the theoretical density: 12.34 Mg/m³. For the density of states at the Fermi level, the calculation gives 0.482 states/eV per atom. For the volume, the calculation gives 13.66 Å³/atom.

a b c (Å): 3.842 3.842 4.591
angles (deg): 114.74 114.74 90.00
Sites, in units of the cell vectors:
Cu  0.250  0.750  0.500
Ta  0.750  0.250  0.500
Ni  0.000  0.000  0.000
Rh  0.500  0.500  0.000

Model ii:
A plane-wave DFT calculation with PBE was carried out for a relaxed structure of TaCuNiRh.

Computed properties:
As for the theoretical density: 12.15 Mg/m³. For the density of states at the Fermi level, the calculation gives 0.915 states/eV per atom. For the volume, the calculation gives 13.88 Å³/atom.

a b c (Å): 4.282 4.282 4.282
angles (deg): 60.00 60.00 60.00
Sites, in units of the cell vectors:
Ni  0.250  0.250  0.250
Cu  0.500  0.500  0.500
Rh  0.750  0.750  0.750
Ta  0.000  0.000  0.000

Which one sits at the bottom of the stability order? model ii does.

Model i:
A plane-wave DFT calculation with PBE was carried out for a relaxed structure of TaCuNiRu.

Computed properties:
As for the theoretical density: 12.14 Mg/m³. For the density of states at the Fermi level, the calculation gives 0.104 states/eV per atom. For the volume, the calculation gives 13.83 Å³/atom.

a b c (Å): 4.277 4.277 4.277
angles (deg): 60.00 60.00 60.00
Sites, in units of the cell vectors:
Ta  0.500  0.500  0.500
Ni  0.250  0.250  0.250
Cu  0.000  0.000  0.000
Ru  0.750  0.750  0.750

Model ii:
A plane-wave DFT calculation with PBE was carried out for a relaxed structure of TaCuNiRu.

Computed properties:
As for the theoretical density: 12.35 Mg/m³. For the density of states at the Fermi level, the calculation gives 0.189 states/eV per atom. For the volume, the calculation gives 13.59 Å³/atom.

a b c (Å): 3.553 3.807 4.017
angles (deg): 90.00 90.00 90.00
Sites, in units of the cell vectors:
Ru  0.500  0.500  0.000
Ta  0.000  0.000  0.000
Ni  0.500  0.000  0.500
Cu  0.000  0.500  0.500

Which one sits at the bottom of the stability order? model i does.

Model i:
A plane-wave DFT calculation with PBE was carried out for a relaxed structure of CuNiS.

Computed properties:
As for the theoretical density: 6.14 Mg/m³. For the density of states at the Fermi level, the calculation gives 0.933 states/eV per atom. For the volume, the calculation gives 13.92 Å³/atom.

a b c (Å): 5.528 5.188 6.262
angles (deg): 90.00 111.57 90.00
Sites, in units of the cell vectors:
Cu  0.783  0.090  0.058
Cu  0.217  0.090  0.942
Cu  0.783  0.590  0.558
Cu  0.217  0.590  0.442
S  0.215  0.999  0.309
S  0.215  0.499  0.809
S  0.785  0.499  0.191
S  0.785  0.999  0.691
Ni  0.439  0.215  0.673
Ni  0.561  0.715  0.827
Ni  0.439  0.715  0.173
Ni  0.561  0.215  0.327

Model ii:
A plane-wave DFT calculation with PBE was carried out for a relaxed structure of CuNiS.

Computed properties:
As for the theoretical density: 6.01 Mg/m³. For the density of states at the Fermi level, the calculation gives 0.576 states/eV per atom. For the volume, the calculation gives 14.20 Å³/atom.

a b c (Å): 5.135 5.389 6.444
angles (deg): 90.00 107.08 90.00
Sites, in units of the cell vectors:
S  0.676  0.241  0.774
S  0.324  0.241  0.226
S  0.676  0.741  0.274
S  0.324  0.741  0.726
Ni  0.724  0.111  0.447
Ni  0.276  0.611  0.053
Ni  0.724  0.611  0.947
Ni  0.276  0.111  0.553
Cu  0.007  0.963  0.812
Cu  0.993  0.963  0.188
Cu  0.993  0.463  0.688
Cu  0.007  0.463  0.312

Model iii:
A plane-wave DFT calculation with PBE was carried out for a relaxed structure of CuNiS.

Computed properties:
As for the theoretical density: 6.22 Mg/m³. For the density of states at the Fermi level, the calculation gives 0.565 states/eV per atom. For the volume, the calculation gives 13.74 Å³/atom.

a b c (Å): 4.666 3.309 10.735
angles (deg): 90.00 95.79 90.00
Sites, in units of the cell vectors:
Cu  0.862  0.500  0.329
Cu  0.138  0.000  0.171
Cu  0.138  0.500  0.671
Cu  0.862  0.000  0.829
S  0.677  0.000  0.628
S  0.323  0.500  0.872
S  0.677  0.500  0.128
S  0.323  0.000  0.372
Ni  0.500  0.000  0.000
Ni  0.000  0.000  0.500
Ni  0.000  0.500  0.000
Ni  0.500  0.500  0.500

Which one sits at the bottom of the stability order? model iii does.